Zr2Sc3Cu3 | GGA-PBE | relaxed

The structure in extended XYZ format:
```
8
Lattice="-0.193 3.238 0.318 -0.091 0.456 -4.694 -9.718 -2.448 2.320" Properties=species:S:1:pos:R:3 pbc="T T T"
Zr -5.400 -0.098 -2.275
Zr -4.602 1.344 0.220
Sc -7.515 -0.458 0.101
Sc -2.487 1.704 -2.157
Sc -0.097 1.619 0.159
Cu -7.803 1.380 -2.085
Cu -0.045 0.228 -2.347
Cu -2.199 -0.134 0.030
```

Computed properties:
E: -49.74 eV per formula unit
energy of formation from the pure elements: -0.170 eV/atom

ZrScCu4 | GGA-PBE | relaxed

The structure in extended XYZ format:
```
6
Lattice="5.058 0.000 0.000 2.529 4.380 0.000 2.529 1.460 4.130" Properties=species:S:1:pos:R:3 pbc="T T T"
Cu 3.793 3.651 2.582
Cu 6.323 3.651 2.582
Cu 5.058 1.459 2.582
Cu 5.058 2.920 0.515
Sc 2.529 1.460 1.032
Zr 0.000 0.000 0.000
```

Computed properties:
distance to the lowest polymorph of the same formula: 59.7 meV per atom
E: -32.07 eV per formula unit
energy of formation from the pure elements: -0.134 eV/atom

ZrSc2Cu | GGA-PBE | relaxed

The structure in extended XYZ format:
```
4
Lattice="-0.621 1.894 -2.626 0.016 -1.316 -3.023 -9.093 -1.667 -1.121" Properties=species:S:1:pos:R:3 pbc="T T T"
Zr -4.830 -0.541 -3.387
Sc -7.144 -1.260 -1.288
Sc -2.152 -0.215 -1.716
Cu -0.421 0.382 -3.764
```

Computed properties:
distance to the lowest polymorph of the same formula: 163.7 meV per atom
E: -25.18 eV per formula unit
energy of formation from the pure elements: 0.032 eV/atom

ZrSc2Cu | GGA-PBE | relaxed

The structure in extended XYZ format:
```
4
Lattice="-1.387 -5.317 -2.042 0.043 -4.592 3.644 -2.232 5.278 -1.233" Properties=species:S:1:pos:R:3 pbc="T T T"
Cu -2.145 -2.497 -1.237
Sc -1.298 -9.571 1.547
Sc -0.718 -5.292 0.856
Zr -1.431 -2.134 1.606
```

Computed properties:
distance to the lowest polymorph of the same formula: 78.2 meV per atom
E: -25.52 eV per formula unit
energy of formation from the pure elements: -0.053 eV/atom

ZrSc2Cu | GGA-PBE | relaxed

The structure in extended XYZ format:
```
4
Lattice="-0.659 3.137 0.330 -0.594 -0.453 3.135 7.741 1.451 1.676" Properties=species:S:1:pos:R:3 pbc="T T T"
Sc 7.374 1.382 1.596
Sc 1.401 1.722 2.171
Cu 5.211 2.436 2.996
Zr 4.113 0.771 0.890
```

Computed properties:
distance to the lowest polymorph of the same formula: 50.3 meV per atom
E: -25.63 eV per formula unit
energy of formation from the pure elements: -0.081 eV/atom

ZrSc2Cu | GGA-PBE | relaxed

The structure in extended XYZ format:
```
4
Lattice="-1.768 3.939 0.136 -0.811 -0.472 3.133 4.601 1.935 3.763" Properties=species:S:1:pos:R:3 pbc="T T T"
Cu 1.959 3.066 5.240
Sc 3.778 1.467 6.606
Sc 1.907 0.727 3.738
Zr 0.064 2.335 1.792
```

Computed properties:
distance to the lowest polymorph of the same formula: 161.3 meV per atom
E: -25.19 eV per formula unit
energy of formation from the pure elements: 0.030 eV/atom